Here is MnHg3F after structural relaxation from the Alexandria database. Energies are from PBE+U.

Calculated values
The energy relative to the lowest polymorph listed for this composition is 61 meV/atom. The value obtained for the density of states at the Fermi level is 0.332 states/eV per atom.

abc: 5.0787 5.0787 5.0787
angles: 90.00 90.00 90.00
Closest atoms and distances in Å follow each position.
Space group Pm-3m (No. 221)
Inequivalent atoms, fractional coordinates:
Mn: 0.0000 0.0000 0.0000 (multiplicity 1)  12 Hg 3.59
Hg: 0.0000 0.5000 0.5000 (multiplicity 3)  2 F 2.54
F: 0.5000 0.5000 0.5000 (multiplicity 1)  6 Hg 2.54